{
  "formula": "K2CoPd2O6",
  "functional": "PBE with a Hubbard U",
  "state": "relaxed",
  "lattice_angstrom": [[2.8413, 1.6404, 5.7097], [-2.8413, 1.6404, 5.7097], [0.0000, -3.2808, 5.7097]],
  "species": ["K", "K", "Co", "Pd", "Pd", "O", "O", "O", "O", "O", "O"],
  "fractional_positions": [[0.2097, 0.2097, 0.2097], [0.7903, 0.7903, 0.7903], [0.0000, 0.0000, 0.0000], [0.3968, 0.3968, 0.3968], [0.6032, 0.6032, 0.6032], [0.2154, 0.2154, 0.7847], [0.2154, 0.7847, 0.2154], [0.2153, 0.7846, 0.7846], [0.7847, 0.2154, 0.2154], [0.7846, 0.2153, 0.7846], [0.7846, 0.7846, 0.2153]],
  "crystal_system": "trigonal",
  "sg": "R-3m",
  "final_energy_ev_per_atom": -4.976,
  "magmom_total_mub_per_fu": 0.02
}